A plane-wave DFT calculation with PBE was carried out for a geometry-optimized TbErCd4 structure.

Cell lengths 8.3422, 8.3422, 8.3422 Å; angles 90.00, 90.00, 90.00 degrees
Space group F-43m (No. 216)
Asymmetric unit:
Tb 0.0000 0.0000 0.0000 (multiplicity 4)
Er 0.2500 0.2500 0.2500 (multiplicity 4)
Cd 0.1250 0.1250 0.6250 (multiplicity 16)

ΔE to the lowest computed polymorph: 68 meV/atom
D(E_F): 21.1 states/eV per cell
calculated density: 8.9 Mg/m³
DFT formation energy: -0.244 eV per atom